A plane-wave DFT calculation with GGA-PBE was carried out for a geometry-optimized AcPm2DyHo5 structure.

Values from the calculation:
The total DFT energy (no corrections) comes out at -155.03 eV/cell. As for the formation energy: 260.4 meV per atom. Its theoretical density is 8.3 g cm⁻³.

```
data_AcPm2DyHo5
_chemical_formula_sum 'Ac4 Pm8 Dy4 Ho20'
_symmetry_space_group_name_H-M 'I 4/m c m'
_symmetry_Int_Tables_number 140
_symmetry_space_group_name_Hall '-I 4 2c'
_cell_length_a 8.845
_cell_length_b 8.845
_cell_length_c 15.472
_cell_angle_alpha 90.00
_cell_angle_beta 90.00
_cell_angle_gamma 90.00
loop_
_atom_site_label
_atom_site_type_symbol
_atom_site_fract_x
_atom_site_fract_y
_atom_site_fract_z
_atom_site_occupancy
Ac1 Ac 0.000 0.000 0.250 1
Pm1 Pm 0.116 0.384 0.000 1
Dy1 Dy 0.000 0.500 0.250 1
Ho1 Ho 0.000 0.000 0.000 1
Ho2 Ho 0.206 0.294 0.368 1
```